# 1
PBE with a Hubbard U LiMnP2O7, optimized geometry; energy above the most stable polymorph in this dataset = 14.2 meV per atom; symmetry = C2 (5)
1.0
-2.762 2.818 2.345
-1.181 -4.660 2.245
4.668 1.023 2.305
P O Li Mn
2 7 1 1
direct
0.908 0.737 0.662
0.092 0.338 0.263
0.693 0.638 0.826
0.307 0.174 0.362
0.784 0.178 0.074
0.000 0.477 0.523
0.768 0.874 0.456
0.232 0.544 0.126
0.216 0.926 0.822
0.500 0.250 0.750
0.500 0.872 0.128

---

# 2
PBE with a Hubbard U Li4MnP6O18, optimized geometry; DOS(E_F) = 0.000 states/eV per atom; symmetry = P1 (1)
1.0
7.160 -0.098 0.454
-0.990 7.595 -0.989
-2.649 -3.343 6.777
Li P O Mn
4 6 18 1
direct
0.500 0.499 0.000
0.605 0.849 0.413
0.228 0.948 0.100
0.384 0.144 0.569
0.221 0.451 0.251
0.005 0.262 0.685
0.000 0.747 0.314
0.772 0.544 0.748
0.694 0.212 0.340
0.305 0.787 0.664
0.711 0.450 0.503
0.480 0.932 0.669
0.609 0.429 0.777
0.309 0.807 0.858
0.837 0.777 0.859
0.281 0.547 0.496
0.143 0.897 0.300
0.687 0.198 0.146
0.392 0.556 0.223
0.915 0.204 0.450
0.861 0.107 0.696
0.526 0.063 0.334
0.227 0.286 0.750
0.776 0.720 0.251
0.089 0.802 0.550
0.141 0.216 0.136
0.980 0.489 0.809
0.020 0.515 0.190
0.802 0.062 0.919

---

# 3
PBE with a Hubbard U Li2MnP2O8, optimized geometry; DOS(E_F) = 0.009 states/eV per atom; energy above the most stable polymorph in this dataset = 4.3 meV per atom; symmetry = Pbca (61)
1.0
8.993 0.000 0.000
0.000 9.116 0.000
0.000 0.000 13.379
P O Mn Li
16 64 8 16
direct
0.686 0.658 0.010
0.565 0.427 0.719
0.435 0.073 0.219
0.065 0.073 0.719
0.314 0.342 0.990
0.935 0.927 0.281
0.435 0.573 0.281
0.186 0.842 0.010
0.814 0.658 0.510
0.565 0.927 0.781
0.314 0.842 0.510
0.814 0.158 0.990
0.065 0.573 0.781
0.186 0.342 0.490
0.686 0.158 0.490
0.935 0.427 0.219
0.980 0.698 0.487
0.203 0.012 0.025
0.240 0.579 0.779
0.998 0.524 0.139
0.703 0.488 0.025
0.998 0.266 0.218
0.529 0.980 0.670
0.297 0.512 0.975
0.733 0.744 0.101
0.502 0.024 0.861
0.733 0.244 0.399
0.267 0.256 0.899
0.002 0.734 0.782
0.797 0.488 0.525
0.471 0.520 0.170
0.797 0.988 0.975
0.740 0.921 0.779
0.498 0.476 0.361
0.276 0.311 0.588
0.502 0.766 0.782
0.760 0.921 0.279
0.480 0.802 0.487
0.233 0.756 0.101
0.267 0.756 0.601
0.760 0.421 0.221
0.767 0.244 0.899
0.029 0.020 0.830
0.203 0.512 0.475
0.502 0.266 0.718
0.276 0.811 0.912
0.498 0.734 0.282
0.776 0.689 0.912
0.029 0.520 0.670
0.020 0.302 0.513
0.529 0.480 0.830
0.971 0.980 0.170
0.502 0.524 0.639
0.703 0.988 0.475
0.520 0.698 0.987
0.980 0.198 0.013
0.998 0.024 0.361
0.240 0.079 0.721
0.480 0.302 0.013
0.471 0.020 0.330
0.740 0.421 0.721
0.724 0.689 0.412
0.776 0.189 0.588
0.998 0.766 0.282
0.224 0.811 0.412
0.002 0.976 0.639
0.260 0.079 0.221
0.498 0.976 0.139
0.260 0.579 0.279
0.224 0.311 0.088
0.767 0.744 0.601
0.971 0.480 0.330
0.002 0.476 0.861
0.233 0.256 0.399
0.297 0.012 0.525
0.520 0.198 0.513
0.724 0.189 0.088
0.498 0.234 0.218
0.020 0.802 0.987
0.002 0.234 0.718
0.894 0.359 0.624
0.394 0.141 0.624
0.606 0.859 0.376
0.106 0.141 0.124
0.606 0.359 0.124
0.394 0.641 0.876
0.106 0.641 0.376
0.894 0.859 0.876
0.047 0.772 0.626
0.953 0.228 0.374
0.547 0.728 0.626
0.212 0.045 0.374
0.453 0.772 0.126
0.453 0.272 0.374
0.788 0.955 0.626
0.212 0.545 0.126
0.288 0.545 0.626
0.288 0.045 0.874
0.788 0.455 0.874
0.712 0.955 0.126
0.712 0.455 0.374
0.953 0.728 0.126
0.047 0.272 0.874
0.547 0.228 0.874

---

# 4
PBE with a Hubbard U Li3Mn2P3O12, optimized geometry; energy above the most stable polymorph in this dataset = 45.4 meV per atom; symmetry = P2/c (13)
1.0
8.694 0.000 0.041
0.000 8.667 0.000
-0.804 0.000 12.207
O P Mn Li
48 12 8 12
direct
0.480 0.874 0.587
0.624 0.821 0.309
0.266 0.405 0.212
0.266 0.902 0.794
0.860 0.823 0.897
0.054 0.899 0.159
0.376 0.821 0.191
0.676 0.328 0.077
0.324 0.672 0.923
0.257 0.949 0.987
0.946 0.899 0.341
0.743 0.051 0.013
0.743 0.949 0.513
0.004 0.425 0.110
0.520 0.874 0.913
0.376 0.179 0.691
0.561 0.385 0.659
0.946 0.101 0.841
0.996 0.575 0.890
0.865 0.693 0.199
0.624 0.179 0.809
0.865 0.307 0.699
0.140 0.177 0.103
0.258 0.399 0.009
0.860 0.177 0.397
0.258 0.601 0.509
0.140 0.823 0.603
0.439 0.385 0.841
0.480 0.126 0.087
0.257 0.051 0.487
0.266 0.595 0.712
0.135 0.693 0.301
0.734 0.098 0.206
0.004 0.575 0.610
0.520 0.126 0.413
0.734 0.595 0.788
0.734 0.902 0.706
0.266 0.098 0.294
0.996 0.425 0.390
0.439 0.615 0.341
0.135 0.307 0.801
0.742 0.601 0.991
0.324 0.328 0.423
0.561 0.615 0.159
0.734 0.405 0.288
0.742 0.399 0.491
0.054 0.101 0.659
0.676 0.672 0.577
0.344 0.850 0.904
0.836 0.358 0.391
0.164 0.642 0.609
0.500 0.719 0.250
0.000 0.209 0.750
0.500 0.281 0.750
0.000 0.791 0.250
0.656 0.150 0.096
0.164 0.358 0.109
0.656 0.850 0.596
0.344 0.150 0.404
0.836 0.642 0.891
0.719 0.007 0.353
0.281 0.993 0.647
0.719 0.993 0.853
0.207 0.499 0.357
0.207 0.501 0.857
0.793 0.499 0.143
0.281 0.007 0.147
0.793 0.501 0.643
0.665 0.198 0.548
0.000 0.000 0.000
0.500 0.500 0.000
0.000 0.906 0.750
0.665 0.802 0.048
0.335 0.198 0.952
0.335 0.802 0.452
0.000 0.094 0.250
0.500 0.500 0.500
0.500 0.582 0.750
0.000 0.000 0.500
0.500 0.418 0.250

---

# 5
PBE with a Hubbard U LiMn2P2O8, optimized geometry; energy above the most stable polymorph in this dataset = 62.8 meV per atom; symmetry = Pc (7)
1.0
5.495 0.000 0.000
0.000 7.882 0.124
0.000 2.154 8.150
Mn O Li P
4 16 2 4
direct
0.803 0.939 0.471
0.197 0.939 0.971
0.644 0.509 0.710
0.356 0.509 0.210
0.286 0.583 0.648
0.594 0.332 0.944
0.714 0.583 0.148
0.814 0.913 0.012
0.651 0.062 0.618
0.186 0.913 0.512
0.756 0.788 0.326
0.869 0.725 0.665
0.406 0.332 0.444
0.131 0.725 0.165
0.778 0.193 0.340
0.817 0.374 0.558
0.183 0.374 0.058
0.244 0.788 0.826
0.349 0.062 0.118
0.222 0.193 0.840
0.839 0.350 0.113
0.161 0.350 0.613
0.342 0.247 0.991
0.658 0.247 0.491
0.840 0.754 0.163
0.160 0.754 0.663

---

# 6
PBE with a Hubbard U LiMnP2O7, optimized geometry; energy above the most stable polymorph in this dataset = 17.0 meV per atom; symmetry = P1 (1)
1.0
-1.781 -4.638 -0.286
4.886 -0.401 4.631
-5.560 2.347 5.555
P O Mn Li
4 14 2 2
direct
0.546 0.159 0.766
0.143 0.755 0.696
0.465 0.843 0.228
0.875 0.254 0.301
0.328 0.979 0.651
0.068 0.770 0.874
0.117 0.275 0.427
0.789 0.065 0.814
0.948 0.245 0.121
0.909 0.724 0.563
0.596 0.782 0.078
0.644 0.328 0.650
0.212 0.936 0.195
0.376 0.682 0.352
0.698 0.021 0.335
0.685 0.399 0.317
0.333 0.605 0.691
0.391 0.222 0.906
0.508 0.500 0.499
0.010 0.009 0.999
0.070 0.966 0.435
0.437 0.532 0.928

---

no.,density (g/cm³),volume (Å³ per cell),energy (eV/cell)
1,3.23,121,-78.18
2,2.61,355,-200.86
3,3.13,1097,-708.28
4,3.00,920,-553.52
5,2.90,351,-187.93
6,2.94,266,-156.30